Record 1
Compound: SrCa2W
Source: Alexandria via LeMat-Bulk
Functional: GGA-PBE
Structure: relaxed

Values from the calculation:
total magnetic moment = 0.677 μB per atom
N(E_F) = 3.23 states/eV/f.u.
SG = Immm (71)
electronic total energy = -15.1 eV for the cell shown
ΔE to the lowest computed polymorph = 0.054 eV/atom
formation energy from the elements = 0.8945 eV per atom

a = 6.952 Å, b = 6.952 Å, c = 6.952 Å
α = 148.46°, β = 129.87°, γ = 60.44°
Positions (direct):
Sr 0.000 0.000 0.000
Ca 0.297 0.797 0.500
Ca 0.703 0.203 0.500
W 0.500 0.500 0.000

Record 2
Compound: SrLiCo2
Source: Alexandria via LeMat-Bulk
Functional: GGA-PBE
Structure: relaxed

Values from the calculation:
total magnetic moment = 0.656 μB per atom
N(E_F) = 10.12 states/eV/f.u.
SG = Fm-3m (225)
electronic total energy = -14.6 eV for the cell shown
ΔE to the lowest computed polymorph = 0.621 eV/atom
formation energy from the elements = 0.8131 eV per atom

a = 4.738 Å, b = 4.738 Å, c = 4.738 Å
α = 60.00°, β = 60.00°, γ = 60.00°
Positions (direct):
Sr 0.000 0.000 0.000
Li 0.500 0.500 0.500
Co 0.250 0.250 0.250
Co 0.750 0.750 0.750